The following is a PBE calculation of Ho2InHg3 after structural relaxation, from the Alexandria database.

The final energy comes out at -30.2 eV for the cell shown. As for the crystal system: orthorhombic. Its density of states at the Fermi level is 7.71 states/eV/cell. The offset from the most stable computed form comes out at 0.00 kcal/mol of atoms.

Unit cell a=6.048 b=6.048 c=9.215 alpha=102.37 beta=102.37 gamma=110.32
Fractional coordinates of all 12 atoms:
Ho 0.250 0.750 0.500
Ho 0.754 0.754 0.000
Ho 0.750 0.250 0.500
Ho 0.246 0.246 0.000
In 0.667 0.667 0.334
In 0.333 0.333 0.666
Hg 0.335 0.832 0.167
Hg 0.168 0.665 0.833
Hg 0.665 0.168 0.833
Hg 0.832 0.335 0.167
Hg 0.166 0.166 0.333
Hg 0.834 0.834 0.667

The following is a PBE calculation of Ho4InHg7 after structural relaxation, from the Alexandria database.

The final energy comes out at -26.2 eV for the cell shown. As for the crystal system: monoclinic. Its density of states at the Fermi level is 5.53 states/eV/cell.

Unit cell a=5.372 b=9.676 c=6.970 alpha=79.39 beta=67.34 gamma=73.88
Fractional coordinates of all 12 atoms:
Ho 0.582 0.224 0.612
Ho 0.418 0.776 0.388
Ho 0.738 0.679 0.846
Ho 0.262 0.321 0.154
In 0.000 0.000 0.000
Hg 0.801 0.915 0.483
Hg 0.199 0.085 0.517
Hg 0.072 0.653 0.203
Hg 0.928 0.347 0.797
Hg 0.361 0.536 0.741
Hg 0.500 0.000 0.000
Hg 0.639 0.464 0.259

The following is a PBE calculation of HoIn5Hg8 after structural relaxation, from the Alexandria database.

The final energy comes out at -21.6 eV for the cell shown. As for the crystal system: monoclinic. Its density of states at the Fermi level is 5.72 states/eV/cell.

Unit cell a=7.966 b=7.966 c=8.299 alpha=115.79 beta=90.01 gamma=123.13
Fractional coordinates of all 14 atoms:
Ho 0.178 0.678 0.500
In 0.028 0.282 0.013
In 0.801 0.639 0.697
In 0.269 0.015 0.987
In 0.545 0.545 0.000
In 0.942 0.104 0.303
Hg 0.010 0.729 0.176
Hg 0.444 0.503 0.378
Hg 0.470 0.887 0.283
Hg 0.074 0.452 0.744
Hg 0.708 0.330 0.256
Hg 0.125 0.066 0.622
Hg 0.553 0.834 0.824
Hg 0.604 0.187 0.717

The following is a PBE calculation of Ho2InHg6 after structural relaxation, from the Alexandria database.

The final energy comes out at -16.0 eV for the cell shown. As for the crystal system: monoclinic. Its density of states at the Fermi level is 4.75 states/eV/cell. The offset from the most stable computed form comes out at 0.00 kcal/mol of atoms.

Unit cell a=5.159 b=5.148 c=9.461 alpha=90.33 beta=90.00 gamma=120.07
Fractional coordinates of all 9 atoms:
Ho 0.334 0.667 0.720
Ho 0.666 0.333 0.280
In 0.000 0.000 0.500
Hg 0.667 0.333 0.939
Hg 0.333 0.667 0.061
Hg 0.000 0.999 0.165
Hg 0.333 0.666 0.387
Hg 0.000 0.001 0.835
Hg 0.667 0.334 0.613

The following is a PBE calculation of Ho12In6Hg after structural relaxation, from the Alexandria database.

The final energy comes out at -72.0 eV for the cell shown. As for the crystal system: trigonal. Its density of states at the Fermi level is 18.13 states/eV/cell.

Unit cell a=8.829 b=8.829 c=8.829 alpha=100.74 beta=100.74 gamma=100.74
Fractional coordinates of all 19 atoms:
Ho 0.822 0.574 0.435
Ho 0.435 0.822 0.574
Ho 0.574 0.435 0.822
Ho 0.178 0.426 0.565
Ho 0.565 0.178 0.426
Ho 0.426 0.565 0.178
Ho 0.057 0.944 0.321
Ho 0.056 0.679 0.943
Ho 0.679 0.943 0.056
Ho 0.943 0.056 0.679
Ho 0.944 0.321 0.057
Ho 0.321 0.057 0.944
In 0.695 0.863 0.383
In 0.617 0.305 0.137
In 0.137 0.617 0.305
In 0.305 0.137 0.617
In 0.383 0.695 0.863
In 0.863 0.383 0.695
Hg 0.000 0.000 0.000

The following is a PBE calculation of Ho2InHg4 after structural relaxation, from the Alexandria database.

The final energy comes out at -12.4 eV for the cell shown. As for the crystal system: tetragonal. Its density of states at the Fermi level is 6.70 states/eV/cell. The offset from the most stable computed form comes out at 8.80 kcal/mol of atoms.

Unit cell a=5.451 b=5.451 c=8.530 alpha=108.63 beta=108.63 gamma=90.00
Fractional coordinates of all 7 atoms:
Ho 0.608 0.608 0.217
Ho 0.392 0.392 0.783
In 0.000 0.000 0.000
Hg 0.804 0.804 0.607
Hg 0.196 0.196 0.393
Hg 0.000 0.500 0.000
Hg 0.500 0.000 0.000

The following energy of formation from the pure elements values (in eV/f.u.) correspond, in order, to the records above: -2.29 -3.09 -0.91 -2.29 -0.30 0.68.